[1]
{
  "formula": "DyThMnCd",
  "functional": "PBE",
  "state": "relaxed",
  "formation_enthalpy_0k_ev_per_atom": 0.07,
  "e_tot_ev_per_atom": -5.457,
  "spacegroup": "F-43m",
  "mass_density_g_cm3": 9.26,
  "cell": [[-1.7833, 0.0823, -4.9091], [-5.0514, -0.9212, -0.9595], [-3.1087, 3.8873, -1.5847]],
  "species": ["Th", "Dy", "Cd", "Mn"],
  "frac_coords": [[0.5000, 0.5000, 0.5000], [0.0000, 0.0000, 0.0000], [0.2500, 0.2500, 0.2500], [0.7500, 0.7500, 0.7500]]
}

***

[2]
{
  "formula": "Tb2Sm3YHo6",
  "functional": "PBE",
  "state": "relaxed",
  "formation_enthalpy_0k_ev_per_atom": 0.02,
  "e_tot_ev_per_atom": -4.762,
  "spacegroup": "C2/m",
  "mass_density_g_cm3": 8.02,
  "cell": [[-3.3145, 3.1154, 4.1671], [3.4608, -4.7897, 1.7717], [8.9153, 7.6953, -0.1789]],
  "species": ["Ho", "Ho", "Ho", "Ho", "Ho", "Ho", "Tb", "Tb", "Sm", "Sm", "Sm", "Y"],
  "frac_coords": [[0.5829, 0.9168, 0.7516], [0.2507, 0.2507, 0.7516], [0.4171, 0.0832, 0.2484], [0.7493, 0.7493, 0.2484], [0.0832, 0.4171, 0.2484], [0.9168, 0.5829, 0.7516], [0.3334, 0.6666, 0.0000], [0.6666, 0.3334, 0.0000], [0.1666, 0.8334, 0.5000], [0.5000, 0.5000, 0.5000], [0.8334, 0.1666, 0.5000], [0.0000, 0.0000, 0.0000]]
}

***

[3]
{
  "formula": "La3Sm2Y6",
  "functional": "PBE",
  "state": "relaxed",
  "formation_enthalpy_0k_ev_per_atom": 0.19,
  "e_tot_ev_per_atom": -5.537,
  "spacegroup": "C2/m",
  "mass_density_g_cm3": 5.31,
  "cell": [[0.3034, 2.0667, 5.8932], [-4.6550, -1.2622, 3.9991], [5.4366, -9.0351, 5.1222]],
  "species": ["Y", "Y", "Y", "Y", "Y", "Y", "La", "La", "La", "Sm", "Sm"],
  "frac_coords": [[0.0862, 0.3319, 0.7459], [0.7497, 0.0000, 0.7464], [0.5819, 0.3319, 0.2541], [0.4181, 0.6681, 0.7459], [0.9138, 0.6681, 0.2541], [0.2503, 0.0000, 0.2536], [0.0000, 0.0000, 0.0000], [0.6639, 0.6722, 0.0000], [0.3361, 0.3278, 0.0000], [0.8337, 0.3326, 0.5000], [0.1663, 0.6674, 0.5000]]
}

***

[4]
{
  "formula": "CoCS2N",
  "functional": "PBE",
  "state": "relaxed",
  "formation_energy_uncorrected_ev_per_atom": 1.74,
  "e_tot_ev_per_atom": -4.838,
  "spacegroup": "P4/mmm",
  "mass_density_g_cm3": 3.57,
  "polymorph_energy_ev_per_atom": 0.726,
  "cell": [[4.5609, 0.0000, 0.0000], [0.0000, 4.5609, 0.0000], [0.0000, 0.0000, 3.3300]],
  "species": ["N", "Co", "C", "S", "S"],
  "frac_coords": [[0.0000, 0.0000, 0.5000], [0.0000, 0.0000, 0.0000], [0.5000, 0.5000, 0.5000], [0.0000, 0.5000, 0.0000], [0.5000, 0.0000, 0.0000]]
}

***

[5]
{
  "formula": "Sb2PbW",
  "functional": "PBE",
  "state": "relaxed",
  "formation_energy_uncorrected_ev_per_atom": 0.60,
  "e_tot_ev_per_atom": -5.629,
  "spacegroup": "Immm",
  "mass_density_g_cm3": 10.09,
  "cell": [[7.0320, -0.0176, 0.0066], [4.5481, 5.3631, -0.0066], [-5.3443, -3.6383, 2.7658]],
  "species": ["Pb", "W", "Sb", "Sb"],
  "frac_coords": [[0.2500, 0.7500, 0.5000], [0.7500, 0.2500, 0.5000], [0.9280, 0.9280, 0.0000], [0.5720, 0.5720, 0.0000]]
}

***

[6]
{
  "formula": "TlMoH2",
  "functional": "PBE",
  "state": "relaxed",
  "e_tot_ev_per_atom": -4.548,
  "spacegroup": "I-42d",
  "mass_density_g_cm3": 10.38,
  "polymorph_energy_ev_per_atom": 0.000,
  "cell": [[-1.6553, 4.8467, -2.6800], [-3.9502, 0.9274, 4.1169], [-0.8578, 4.3953, 2.2448]],
  "species": ["Tl", "Tl", "Mo", "Mo", "H", "H", "H", "H"],
  "frac_coords": [[0.7500, 0.2500, 0.5000], [0.0000, 0.0000, 0.0000], [0.2500, 0.7500, 0.5000], [0.5000, 0.5000, 0.0000], [0.2290, 0.6250, 0.2500], [0.3750, 0.4790, 0.7500], [0.8750, 0.7710, 0.7500], [0.5210, 0.1250, 0.2500]]
}

***

[7]
{
  "formula": "TbTm3H8",
  "functional": "PBE",
  "state": "relaxed",
  "e_tot_ev_per_atom": -4.457,
  "spacegroup": "Pm-3m",
  "mass_density_g_cm3": 8.42,
  "cell": [[-3.4522, 1.7613, -3.3196], [-1.8469, -4.7209, -0.5840], [-3.2727, 0.8064, 3.8313]],
  "species": ["H", "H", "H", "H", "H", "H", "H", "H", "Tm", "Tm", "Tm", "Tb"],
  "frac_coords": [[0.7462, 0.7462, 0.7462], [0.2538, 0.7462, 0.2538], [0.7462, 0.2538, 0.2538], [0.2538, 0.2538, 0.2538], [0.7462, 0.7462, 0.2538], [0.2538, 0.2538, 0.7462], [0.2538, 0.7462, 0.7462], [0.7462, 0.2538, 0.7462], [0.5000, 0.5000, 0.0000], [0.0000, 0.5000, 0.5000], [0.5000, 0.0000, 0.5000], [0.0000, 0.0000, 0.0000]]
}

***

[8]
{
  "formula": "NdMnAs3",
  "functional": "PBE",
  "state": "relaxed",
  "formation_enthalpy_0k_ev_per_atom": -0.69,
  "e_tot_ev_per_atom": -6.266,
  "spacegroup": "Pbcm",
  "mass_density_g_cm3": 7.03,
  "cell": [[5.6246, 0.0000, 0.0000], [0.0000, 5.7175, 0.0000], [0.0000, 0.0000, 12.4590]],
  "species": ["Mn", "Mn", "Mn", "Mn", "As", "As", "As", "As", "As", "As", "As", "As", "As", "As", "As", "As", "Nd", "Nd", "Nd", "Nd"],
  "frac_coords": [[0.5000, 0.2500, 0.0836], [0.5000, 0.7500, 0.9164], [0.0000, 0.7500, 0.9164], [0.0000, 0.2500, 0.0836], [0.2500, 0.6081, 0.0666], [0.2500, 0.5053, 0.7885], [0.5000, 0.7500, 0.5014], [0.2500, 0.0053, 0.2115], [0.7500, 0.3919, 0.9334], [0.0000, 0.2500, 0.4986], [0.0000, 0.7500, 0.5014], [0.2500, 0.1081, 0.9334], [0.5000, 0.2500, 0.4986], [0.7500, 0.8919, 0.0666], [0.7500, 0.4947, 0.2115], [0.7500, 0.9947, 0.7885], [0.7500, 0.4958, 0.6900], [0.7500, 0.9958, 0.3100], [0.2500, 0.0042, 0.6900], [0.2500, 0.5042, 0.3100]]
}